Entry i
Na2TeSe: relaxed, PBE.

Results
total moment = 0.0 μB/f.u.
space group = I-42d (122)

abc: 6.6688 6.6688 6.6688
angles: 101.72 101.72 126.43
Element x y z (fractional)
Na (0.0921, 0.1250, 0.4671)
Na (0.3750, 0.9079, 0.0329)
Na (0.6579, 0.6250, 0.5329)
Na (0.8750, 0.3421, 0.9671)
Te (0.2500, 0.7500, 0.5000)
Te (0.5000, 0.5000, 0.0000)
Se (0.0000, 0.0000, 0.0000)
Se (0.7500, 0.2500, 0.5000)

***

Entry ii
Na2TeSe: relaxed, PBE.

Results
total moment = 0.0 μB/f.u.
space group = Pnma (62)

abc: 6.9786 8.8773 7.2050
angles: 90.00 90.00 90.00
Element x y z (fractional)
Na (0.2293, 0.0679, 0.0426)
Na (0.2293, 0.4321, 0.0426)
Na (0.2707, 0.5679, 0.5426)
Na (0.2707, 0.9321, 0.5426)
Na (0.7293, 0.0679, 0.4574)
Na (0.7293, 0.4321, 0.4574)
Na (0.7707, 0.5679, 0.9574)
Na (0.7707, 0.9321, 0.9574)
Te (0.0880, 0.2500, 0.6385)
Te (0.4120, 0.7500, 0.1385)
Te (0.5880, 0.2500, 0.8615)
Te (0.9120, 0.7500, 0.3615)
Se (0.1391, 0.7500, 0.8789)
Se (0.3609, 0.2500, 0.3789)
Se (0.6391, 0.7500, 0.6211)
Se (0.8609, 0.2500, 0.1211)

***

Entry iii
Na2TeSe: relaxed, PBE.

Results
total moment = 0.0 μB/f.u.
space group = Fm-3m (225)

abc: 5.2471 5.2471 5.2471
angles: 60.00 60.00 60.00
Element x y z (fractional)
Na (0.2500, 0.2500, 0.2500)
Na (0.7500, 0.7500, 0.7500)
Te (0.0000, 0.0000, 0.0000)
Se (0.5000, 0.5000, 0.5000)

***

Most stable structure: entry ii

***

Entry i
NaTeSe3: relaxed, PBE.

Results
total moment = 0.0 μB/f.u.
space group = C2/m (12)

abc: 6.9165 6.9165 6.6860
angles: 98.69 98.69 102.32
Element x y z (fractional)
Na (0.2105, 0.2105, 0.4276)
Na (0.7895, 0.7895, 0.5724)
Te (0.0000, 0.5000, 0.0000)
Te (0.5000, 0.0000, 0.0000)
Se (0.1178, 0.1178, 0.9317)
Se (0.1368, 0.5934, 0.6415)
Se (0.4066, 0.8632, 0.3585)
Se (0.5934, 0.1368, 0.6415)
Se (0.8632, 0.4066, 0.3585)
Se (0.8822, 0.8822, 0.0683)

***

Entry ii
NaTeSe3: relaxed, PBE.

Results
total moment = 0.0 μB/f.u.
space group = C2/m (12)

abc: 8.3041 8.3041 7.8019
angles: 108.12 108.12 38.65
Element x y z (fractional)
Na (0.1254, 0.1254, 0.3350)
Na (0.8746, 0.8746, 0.6650)
Te (0.3411, 0.3411, 0.1218)
Te (0.6589, 0.6589, 0.8782)
Se (0.1528, 0.1528, 0.9554)
Se (0.3387, 0.3387, 0.4413)
Se (0.4704, 0.4704, 0.8326)
Se (0.5296, 0.5296, 0.1674)
Se (0.6613, 0.6613, 0.5587)
Se (0.8472, 0.8472, 0.0446)

***

Most stable structure: entry ii

***

Entry i
NaTeSe3: relaxed, PBE.

Results
total moment = 0.0 μB/f.u.
space group = Pm-3m (221)

abc: 5.1139 5.1139 5.1139
angles: 90.00 90.00 90.00
Element x y z (fractional)
Na (0.0000, 0.0000, 0.0000)
Te (0.5000, 0.5000, 0.5000)
Se (0.0000, 0.0000, 0.5000)
Se (0.0000, 0.5000, 0.0000)
Se (0.5000, 0.0000, 0.0000)

***

Entry ii
NaTeSe3: relaxed, PBE.

Results
total moment = 0.0 μB/f.u.
space group = Pm-3m (221)

abc: 5.4147 5.4147 5.4147
angles: 90.00 90.00 90.00
Element x y z (fractional)
Na (0.0000, 0.0000, 0.0000)
Te (0.5000, 0.5000, 0.5000)
Se (0.0000, 0.5000, 0.5000)
Se (0.5000, 0.0000, 0.5000)
Se (0.5000, 0.5000, 0.0000)

***

Most stable structure: entry ii

***

Entry i
Na3TeSe3: relaxed, PBE.

Results
total moment = 0.0 μB/f.u.
space group = C2/m (12)

abc: 7.7629 7.7629 7.2702
angles: 94.60 94.60 108.68
Element x y z (fractional)
Na (0.1862, 0.8138, 0.0000)
Na (0.1937, 0.8063, 0.5000)
Na (0.3142, 0.3142, 0.0302)
Na (0.6858, 0.6858, 0.9698)
Na (0.8063, 0.1937, 0.5000)
Na (0.8138, 0.1862, 0.0000)
Te (0.2992, 0.2992, 0.5381)
Te (0.7008, 0.7008, 0.4619)
Se (0.0756, 0.0756, 0.2384)
Se (0.1430, 0.4816, 0.7525)
Se (0.4816, 0.1430, 0.7525)
Se (0.5184, 0.8570, 0.2475)
Se (0.8570, 0.5184, 0.2475)
Se (0.9244, 0.9244, 0.7616)

***

Entry ii
Na3TeSe3: relaxed, PBE.

Results
total moment = 1.0 μB/f.u.
space group = P6_3/m (176)

abc: 9.2685 9.2685 5.9872
angles: 90.00 90.00 120.00
Element x y z (fractional)
Na (0.0555, 0.3506, 0.2500)
Na (0.2951, 0.9445, 0.2500)
Na (0.3506, 0.2951, 0.7500)
Na (0.6494, 0.7049, 0.2500)
Na (0.7049, 0.0555, 0.7500)
Na (0.9445, 0.6494, 0.7500)
Te (0.3333, 0.6667, 0.7500)
Te (0.6667, 0.3333, 0.2500)
Se (0.0590, 0.3631, 0.7500)
Se (0.3041, 0.9410, 0.7500)
Se (0.3631, 0.3041, 0.2500)
Se (0.6369, 0.6959, 0.7500)
Se (0.6959, 0.0590, 0.2500)
Se (0.9410, 0.6369, 0.2500)

***

Most stable structure: entry i

***

Entry i
NaTeSe: relaxed, PBE.

Results
total moment = 0.0 μB/f.u.
space group = P3m1 (156)

abc: 4.8622 4.8622 4.5502
angles: 90.00 90.00 120.00
Element x y z (fractional)
Na (0.0000, 0.0000, 0.0000)
Te (0.3333, 0.6667, 0.4807)
Se (0.6667, 0.3333, 0.6169)

***

Entry ii
NaTeSe: relaxed, PBE.

Results
total moment = 0.0 μB/f.u.
space group = P1 (1)

abc: 4.4348 5.4080 9.2691
angles: 97.66 100.36 112.84
Element x y z (fractional)
Na (0.0000, 0.0000, 0.0000)
Na (0.2564, 0.6216, 0.3037)
Te (0.3183, 0.1998, 0.5372)
Te (0.9393, 0.4201, 0.7663)
Se (0.5535, 0.2088, 0.2946)
Se (0.7030, 0.4134, 0.0087)

***

Most stable structure: entry ii

***

Entry i
NaTe3Se: relaxed, PBE.

Results
total moment = 0.0 μB/f.u.
space group = Pm-3m (221)

abc: 5.5498 5.5498 5.5498
angles: 90.00 90.00 90.00
Element x y z (fractional)
Na (0.0000, 0.0000, 0.0000)
Te (0.0000, 0.5000, 0.5000)
Te (0.5000, 0.0000, 0.5000)
Te (0.5000, 0.5000, 0.0000)
Se (0.5000, 0.5000, 0.5000)

***

Entry ii
NaTe3Se: relaxed, PBE.

Results
total moment = 0.0 μB/f.u.
space group = Pm-3m (221)

abc: 5.4239 5.4239 5.4239
angles: 90.00 90.00 90.00
Element x y z (fractional)
Na (0.0000, 0.0000, 0.0000)
Te (0.0000, 0.0000, 0.5000)
Te (0.0000, 0.5000, 0.0000)
Te (0.5000, 0.0000, 0.0000)
Se (0.5000, 0.5000, 0.5000)

***

Most stable structure: entry i

***

Entry i
NaTh3Se6: relaxed, PBE.

Results
total moment = 0.9 μB/f.u.
space group = P2_1/m (11)

abc: 11.8060 4.3257 12.4842
angles: 90.00 109.07 90.00
Element x y z (fractional)
Na (0.0880, 0.2500, 0.1718)
Na (0.9120, 0.7500, 0.8282)
Th (0.1659, 0.2500, 0.5688)
Th (0.3031, 0.7500, 0.9887)
Th (0.4952, 0.2500, 0.3270)
Th (0.5048, 0.7500, 0.6730)
Th (0.6969, 0.2500, 0.0113)
Th (0.8341, 0.7500, 0.4312)
Se (0.0708, 0.7500, 0.4016)
Se (0.1288, 0.2500, 0.9413)
Se (0.2555, 0.7500, 0.7282)
Se (0.3119, 0.7500, 0.2311)
Se (0.3793, 0.2500, 0.5072)
Se (0.4720, 0.2500, 0.0878)
Se (0.5280, 0.7500, 0.9122)
Se (0.6207, 0.7500, 0.4928)
Se (0.6881, 0.2500, 0.7689)
Se (0.7445, 0.2500, 0.2718)
Se (0.8712, 0.7500, 0.0587)
Se (0.9292, 0.2500, 0.5984)

***

Entry ii
NaTh3Se6: relaxed, PBE.

Results
total moment = 0.0 μB/f.u.
space group = Cmc2_1 (36)

abc: 8.9837 8.9837 7.2759
angles: 90.00 90.00 102.13
Element x y z (fractional)
Na (0.1768, 0.8232, 0.5000)
Na (0.8232, 0.1768, 0.0000)
Th (0.0698, 0.2775, 0.4883)
Th (0.2775, 0.0698, 0.9883)
Th (0.3968, 0.6032, 0.8841)
Th (0.6032, 0.3968, 0.3841)
Th (0.7225, 0.9302, 0.4883)
Th (0.9302, 0.7225, 0.9883)
Se (0.0079, 0.9921, 0.7368)
Se (0.0911, 0.5506, 0.7250)
Se (0.2381, 0.7619, 0.1361)
Se (0.3039, 0.3685, 0.1827)
Se (0.3685, 0.3039, 0.6827)
Se (0.4494, 0.9089, 0.7250)
Se (0.5506, 0.0911, 0.2250)
Se (0.6315, 0.6961, 0.1827)
Se (0.6961, 0.6315, 0.6827)
Se (0.7619, 0.2381, 0.6361)
Se (0.9089, 0.4494, 0.2250)
Se (0.9921, 0.0079, 0.2368)

***

Most stable structure: entry ii

***

Entry i
Na3TiSe3: relaxed, PBE.

Results
total moment = 0.0 μB/f.u.
space group = C2/m (12)

abc: 7.5245 7.5245 7.3898
angles: 96.98 96.98 114.78
Element x y z (fractional)
Na (0.1695, 0.8305, 0.0000)
Na (0.2597, 0.7403, 0.5000)
Na (0.4032, 0.4032, 0.1401)
Na (0.5968, 0.5968, 0.8599)
Na (0.7403, 0.2597, 0.5000)
Na (0.8305, 0.1695, 0.0000)
Ti (0.1615, 0.1615, 0.6383)
Ti (0.8385, 0.8385, 0.3617)
Se (0.1240, 0.1240, 0.2962)
Se (0.1486, 0.4649, 0.7738)
Se (0.4649, 0.1486, 0.7738)
Se (0.5351, 0.8514, 0.2262)
Se (0.8514, 0.5351, 0.2262)
Se (0.8760, 0.8760, 0.7038)

***

Entry ii
Na3TiSe3: relaxed, PBE.

Results
total moment = 0.0 μB/f.u.
space group = P2_1/c (14)

abc: 8.2570 7.5612 11.9129
angles: 90.00 99.99 90.00
Element x y z (fractional)
Na (0.0949, 0.2400, 0.0819)
Na (0.0949, 0.2600, 0.5819)
Na (0.2107, 0.7427, 0.2157)
Na (0.2107, 0.7573, 0.7157)
Na (0.3984, 0.1550, 0.8779)
Na (0.3984, 0.3450, 0.3779)
Na (0.6016, 0.6550, 0.6221)
Na (0.6016, 0.8450, 0.1221)
Na (0.7893, 0.2427, 0.2843)
Na (0.7893, 0.2573, 0.7843)
Na (0.9051, 0.7400, 0.4181)
Na (0.9051, 0.7600, 0.9181)
Ti (0.3334, 0.5741, 0.9590)
Ti (0.3334, 0.9259, 0.4590)
Ti (0.6666, 0.0741, 0.5410)
Ti (0.6666, 0.4259, 0.0410)
Se (0.1162, 0.0833, 0.3378)
Se (0.1162, 0.4167, 0.8378)
Se (0.2515, 0.6228, 0.4902)
Se (0.2515, 0.8772, 0.9902)
Se (0.4277, 0.0782, 0.6431)
Se (0.4277, 0.4218, 0.1431)
Se (0.5723, 0.5782, 0.8569)
Se (0.5723, 0.9218, 0.3569)
Se (0.7485, 0.1228, 0.0098)
Se (0.7485, 0.3772, 0.5098)
Se (0.8838, 0.5833, 0.1622)
Se (0.8838, 0.9167, 0.6622)

***

Most stable structure: entry ii

***

Entry i
Na3TiSe: relaxed, PBE.

Results
total moment = 0.1 μB/f.u.
space group = Pm-3m (221)

abc: 5.5322 5.5322 5.5322
angles: 90.00 90.00 90.00
Element x y z (fractional)
Na (0.0000, 0.0000, 0.5000)
Na (0.0000, 0.5000, 0.0000)
Na (0.5000, 0.0000, 0.0000)
Ti (0.5000, 0.5000, 0.5000)
Se (0.0000, 0.0000, 0.0000)

***

Entry ii
Na3TiSe: relaxed, PBE.

Results
total moment = 3.0 μB/f.u.
space group = Pm-3m (221)

abc: 5.7541 5.7541 5.7541
angles: 90.00 90.00 90.00
Element x y z (fractional)
Na (0.0000, 0.0000, 0.5000)
Na (0.0000, 0.5000, 0.0000)
Na (0.5000, 0.0000, 0.0000)
Ti (0.0000, 0.0000, 0.0000)
Se (0.5000, 0.5000, 0.5000)

***

Most stable structure: entry i

***

Entry i
Na2TiSe2: relaxed, PBE.

Results
total moment = 1.1 μB/f.u.
space group = P4/mbm (127)

abc: 7.1082 7.1082 4.3836
angles: 90.00 90.00 90.00
Element x y z (fractional)
Na (0.1433, 0.3567, 0.0000)
Na (0.3567, 0.8567, 0.0000)
Na (0.6433, 0.1433, 0.0000)
Na (0.8567, 0.6433, 0.0000)
Ti (0.0000, 0.0000, 0.5000)
Ti (0.5000, 0.5000, 0.5000)
Se (0.1771, 0.6771, 0.5000)
Se (0.3229, 0.1771, 0.5000)
Se (0.6771, 0.8229, 0.5000)
Se (0.8229, 0.3229, 0.5000)

***

Entry ii
Na2TiSe2: relaxed, PBE.

Results
total moment = 0.3 μB/f.u.
space group = I4/mmm (139)

abc: 7.7055 7.7055 7.7055
angles: 152.07 152.07 39.91
Element x y z (fractional)
Na (0.2500, 0.7500, 0.5000)
Na (0.7500, 0.2500, 0.5000)
Ti (0.0000, 0.0000, 0.0000)
Se (0.3973, 0.3973, 0.0000)
Se (0.6027, 0.6027, 0.0000)

***

Most stable structure: entry i